This record from Alexandria describes La2FeCoO6 after structural relaxation. The functional is GGA-PBEsol.

Lattice parameters (Å, degrees): 5.383 5.443 7.612 89.85 90.00 90.00
Fractional coordinates of all 20 atoms:
O  0.996  0.439  0.253
O  0.504  0.939  0.753
O  0.496  0.061  0.247
La  0.983  0.004  0.751
O  0.728  0.264  0.968
La  0.017  0.996  0.249
O  0.765  0.773  0.032
O  0.235  0.227  0.968
La  0.483  0.496  0.749
La  0.517  0.504  0.251
O  0.228  0.236  0.532
Fe  0.000  0.500  0.000
Co  0.500  0.000  0.000
O  0.772  0.764  0.468
O  0.735  0.273  0.532
Fe  0.500  0.000  0.500
O  0.265  0.727  0.468
O  0.004  0.561  0.747
Co  0.000  0.500  0.500
O  0.272  0.736  0.032

As for the crystal system: monoclinic. For the density, the calculation gives 7.3 g/cm3. The value obtained for the total energy is -165.69 eV for the cell shown. The size of the total moment comes out at 5.0 μB/f.u.

This record from Alexandria describes CuNi2W after structural relaxation. The functional is GGA-PBEsol.

Lattice parameters (Å, degrees): 2.661 4.241 4.931 115.47 105.65 90.00
Fractional coordinates of all 4 atoms:
Ni  0.741  0.241  0.482
W  0.493  0.493  0.985
Ni  0.004  0.004  0.008
Cu  0.262  0.762  0.525

As for the crystal system: orthorhombic. Its formation energy is 164 meV/atom. For the density, the calculation gives 12.6 g/cm3. The value obtained for the energy relative to the lowest polymorph listed for this composition is 0.170 eV per atom. The size of the total moment comes out at 0.0 μB/f.u.